# PBE Sm2TmIn8, optimized geometry
# * electronic total energy: -3.632 eV/atom
data_Sm2TmIn8
_cell_length_a 4.632
_cell_length_b 4.632
_cell_length_c 13.471
_cell_angle_alpha 90.00
_cell_angle_beta 90.00
_cell_angle_gamma 90.00
_space_group_name_H-M_alt 'P 4/m m m'
_space_group_IT_number 123
_space_group_name_Hall '-P 4 2'
loop_
_atom_site_label
_atom_site_fract_x
_atom_site_fract_y
_atom_site_fract_z
Sm1 0.000 0.000 0.171
Tm1 0.000 0.000 0.500
In1 0.000 0.500 0.000
In2 0.000 0.500 0.349
In3 0.500 0.500 0.179